No. 1
{"formula": "KTlNi2", "functional": "PBE", "state": "relaxed", "final_energy_ev_per_atom": -2.945, "magnetic_moment_mub_per_cell": 0.9, "formation_enthalpy_0k_mev_per_atom": 812, "vol_a3_per_cell": 81.5, "e_above_lowest_polymorph_mev_per_atom": 593.0, "lattice": [[0.0000, 3.4412, 3.4412], [3.4412, 0.0000, 3.4412], [3.4412, 3.4412, 0.0000]], "species": ["K", "Tl", "Ni", "Ni"], "frac_coords": [[0.0000, 0.0000, 0.0000], [0.2500, 0.2500, 0.2500], [0.5000, 0.5000, 0.5000], [0.7500, 0.7500, 0.7500]]}

No. 2
{"formula": "KTl2Ni", "functional": "PBE", "state": "relaxed", "final_energy_ev_per_atom": -2.695, "magnetic_moment_mub_per_cell": 0.0, "formation_enthalpy_0k_mev_per_atom": 207, "vol_a3_per_cell": 324.2, "lattice": [[-3.2974, 3.2974, 7.4553], [3.2974, -3.2974, 7.4553], [3.2974, 3.2974, -7.4553]], "species": ["K", "K", "Tl", "Tl", "Tl", "Tl", "Ni", "Ni"], "frac_coords": [[0.0000, 0.0000, 0.0000], [0.7500, 0.2500, 0.5000], [0.3676, 0.6250, 0.2426], [0.3750, 0.6176, 0.7426], [0.3824, 0.1250, 0.7574], [0.8750, 0.6324, 0.2574], [0.2500, 0.7500, 0.5000], [0.5000, 0.5000, 0.0000]]}

No. 3
{"formula": "KTlNi2", "functional": "PBE", "state": "relaxed", "final_energy_ev_per_atom": -3.433, "magnetic_moment_mub_per_cell": 0.5, "formation_enthalpy_0k_mev_per_atom": 323, "vol_a3_per_cell": 90.2, "e_above_lowest_polymorph_mev_per_atom": 104.8, "lattice": [[3.2922, 0.0000, 0.0000], [0.0000, 3.5286, 0.0000], [-0.0263, 0.0000, 7.7630]], "species": ["K", "Tl", "Ni", "Ni"], "frac_coords": [[0.0000, 0.0000, 0.0000], [0.4943, 0.5000, 0.6369], [0.4909, 0.0000, 0.3681], [0.9900, 0.5000, 0.3531]]}